Entry from Alexandria: CsLaVF6 after structural relaxation (PBE with a Hubbard U).

Structure (POSCAR):
```
CsLaVF6
1.0
-2.7215 2.2724 7.4082
4.3318 -5.4021 3.2484
3.2439 5.0613 -4.9133
F V La Cs
12 2 2 2
direct
0.5555 0.3782 0.7327 F
0.5555 0.8545 0.7327 F
0.4136 0.1636 0.8271 F
0.4445 0.6218 0.2673 F
0.5864 0.8364 0.1729 F
0.8228 0.1455 0.2673 F
0.1772 0.3782 0.7327 F
0.1387 0.8887 0.2773 F
0.8228 0.6218 0.2673 F
0.8613 0.1113 0.7227 F
0.4445 0.1455 0.2673 F
0.1772 0.8545 0.7327 F
0.5000 0.5000 0.0000 V
0.5000 0.0000 0.0000 V
0.5000 0.0000 0.5000 La
0.0000 0.0000 0.5000 La
0.1597 0.4097 0.3194 Cs
0.8403 0.5903 0.6806 Cs
```

Output
As for the total energy: -6.06 eV/atom. Its space group is Imma (74). The mass density is 4.303 g/cm³. As for the total moment: 6.00 μB per cell.